First-principles (PBE) data for an optimized crystal structure of Ca3HoSc2Se6, as listed in Alexandria.

The structure in POSCAR format:
```
Ca3HoSc2Se6
1.0
-4.981 0.170 4.887
4.951 -4.915 0.242
3.842 5.629 2.053
Ca Ho Sc Se
3 1 2 6
direct
0.165 0.835 0.500
0.835 0.165 0.500
0.500 0.500 0.500
0.000 0.000 0.000
0.333 0.667 0.000
0.667 0.333 0.000
0.921 0.581 0.764
0.738 0.738 0.235
0.079 0.419 0.236
0.581 0.921 0.764
0.262 0.262 0.765
0.419 0.079 0.236
```

energy relative to the elements, uncorrected: -1806 meV per atom
calculated volume: 23.66 Å³ per atom
space group: No. 12
VASP energy: -5.485 eV/atom

First-principles (PBE) data for an optimized crystal structure of CaTbHoSc, as listed in Alexandria.

The structure in POSCAR format:
```
CaTbHoSc
1.0
5.605 0.000 0.000
2.803 4.854 0.000
2.803 1.618 4.577
Sc Ca Tb Ho
1 1 1 1
direct
0.000 0.000 0.000
0.500 0.500 0.500
0.250 0.250 0.250
0.750 0.750 0.750
```

DFT formation energy: 0.18 eV/atom
calculated volume: 31.14 Å³ per atom
space group: No. 216
VASP energy: -4.209 eV/atom

First-principles (PBE) data for an optimized crystal structure of Ca2HoScTe4, as listed in Alexandria.

The structure in POSCAR format:
```
Ca2HoScTe4
1.0
-0.369 4.170 -1.157
-4.875 1.123 5.603
7.115 1.337 2.549
Ca Ho Sc Te
2 1 1 4
direct
0.500 0.000 0.500
0.000 0.500 0.500
0.500 0.500 0.000
0.000 0.000 0.000
0.500 0.239 0.236
0.500 0.761 0.764
0.000 0.247 0.760
0.000 0.753 0.240
```

energy relative to the elements, uncorrected: -1391 meV per atom
calculated volume: 29.57 Å³ per atom
space group: No. 10
VASP energy: -4.826 eV/atom

First-principles (PBE) data for an optimized crystal structure of CaYHoSc, as listed in Alexandria.

The structure in POSCAR format:
```
CaYHoSc
1.0
-3.842 -3.890 1.275
-0.349 -4.705 -3.044
1.599 -4.904 2.218
Y Sc Ca Ho
1 1 1 1
direct
0.750 0.750 0.750
0.000 0.000 0.000
0.500 0.500 0.500
0.250 0.250 0.250
```

DFT formation energy: 0.18 eV/atom
calculated volume: 31.29 Å³ per atom
space group: No. 216
VASP energy: -4.665 eV/atom

First-principles (PBE) data for an optimized crystal structure of CaHoSe2, as listed in Alexandria.

The structure in POSCAR format:
```
CaHoSe2
1.0
-1.909 -1.758 3.167
-2.296 -3.338 -0.590
4.054 -5.645 1.957
Ca Ho Se
1 1 2
direct
0.500 0.500 0.500
0.000 0.000 0.000
0.252 0.252 0.244
0.748 0.748 0.756
```

energy relative to the elements, uncorrected: -1861 meV per atom
offset from the most stable computed form: 0.000 eV per atom
calculated volume: 24.75 Å³ per atom
space group: No. 166
VASP energy: -5.249 eV/atom

First-principles (PBE) data for an optimized crystal structure of CaHo2Se, as listed in Alexandria.

The structure in POSCAR format:
```
CaHo2Se
1.0
3.774 0.000 0.000
1.887 3.269 0.000
1.887 1.090 10.365
Ca Ho Se
1 2 1
direct
0.000 0.000 0.000
0.110 0.110 0.670
0.890 0.890 0.330
0.500 0.500 0.500
```

energy relative to the elements, uncorrected: -611 meV per atom
calculated volume: 31.97 Å³ per atom
space group: No. 166
VASP energy: -4.271 eV/atom

First-principles (PBE) data for an optimized crystal structure of Ca4HoSe5, as listed in Alexandria.

The structure in POSCAR format:
```
Ca4HoSe5
1.0
-2.194 4.664 -2.851
-5.406 -1.587 -4.521
-5.445 3.265 3.447
Ca Ho Se
4 1 5
direct
0.403 0.399 0.798
0.802 0.798 0.601
0.200 0.202 0.399
0.599 0.601 0.202
0.001 0.000 0.000
0.903 0.392 0.804
0.295 0.804 0.608
0.707 0.196 0.392
0.099 0.608 0.196
0.501 0.000 0.000
```

energy relative to the elements, uncorrected: -1954 meV per atom
calculated volume: 25.63 Å³ per atom
space group: No. 87
VASP energy: -4.955 eV/atom

First-principles (PBE) data for an optimized crystal structure of Ca3HoSe4, as listed in Alexandria.

The structure in POSCAR format:
```
Ca3HoSe4
1.0
4.150 0.000 0.000
0.000 7.213 -0.060
0.000 -2.331 6.826
Ca Ho Se
3 1 4
direct
0.000 0.000 0.500
0.500 0.500 0.500
0.000 0.500 0.000
0.500 0.000 0.000
0.000 0.244 0.244
0.500 0.754 0.246
0.000 0.756 0.756
0.500 0.246 0.754
```

energy relative to the elements, uncorrected: -1941 meV per atom
calculated volume: 25.47 Å³ per atom
space group: No. 65
VASP energy: -5.006 eV/atom

First-principles (PBE) data for an optimized crystal structure of CaHo2Se3, as listed in Alexandria.

The structure in POSCAR format:
```
CaHo2Se3
1.0
3.899 0.000 -1.180
-0.716 5.224 -2.365
0.026 0.029 7.116
Ca Ho Se
1 2 3
direct
0.500 0.500 0.500
0.835 0.835 0.170
0.165 0.165 0.830
0.831 0.331 0.162
0.169 0.669 0.838
0.500 0.000 0.500
```

energy relative to the elements, uncorrected: -1811 meV per atom
calculated volume: 24.24 Å³ per atom
space group: No. 71
VASP energy: -5.412 eV/atom

First-principles (PBE) data for an optimized crystal structure of CaHo5Se6, as listed in Alexandria.

The structure in POSCAR format:
```
CaHo5Se6
1.0
-4.327 5.049 2.408
-6.196 -2.851 1.707
-1.080 -2.407 6.538
Ca Ho Se
1 5 6
direct
0.000 0.000 0.000
0.500 0.165 0.670
0.000 0.332 0.336
0.500 0.500 0.000
0.000 0.668 0.664
0.500 0.835 0.330
0.747 0.084 0.334
0.253 0.581 0.334
0.248 0.252 0.000
0.752 0.748 0.000
0.747 0.419 0.666
0.253 0.916 0.666
```

energy relative to the elements, uncorrected: -1764 meV per atom
calculated volume: 23.89 Å³ per atom
space group: No. 12
VASP energy: -5.580 eV/atom

First-principles (PBE) data for an optimized crystal structure of Ca4Ho3Se8, as listed in Alexandria.

The structure in POSCAR format:
```
Ca4Ho3Se8
1.0
7.225 0.000 3.896
2.562 6.755 3.896
-0.122 -0.084 8.872
Ca Ho Se
4 3 8
direct
0.000 0.000 0.000
0.354 0.354 0.939
0.500 0.500 0.500
0.646 0.646 0.061
0.500 0.000 0.500
0.000 0.000 0.500
0.000 0.500 0.500
0.232 0.232 0.303
0.236 0.748 0.268
0.748 0.748 0.268
0.748 0.236 0.268
0.768 0.768 0.697
0.764 0.252 0.732
0.252 0.252 0.732
0.252 0.764 0.732
```

energy relative to the elements, uncorrected: -1808 meV per atom
calculated volume: 29.18 Å³ per atom
space group: No. 166
VASP energy: -5.115 eV/atom

First-principles (PBE) data for an optimized crystal structure of CaHoSe, as listed in Alexandria.

The structure in POSCAR format:
```
CaHoSe
1.0
-2.184 0.891 -2.948
2.316 -5.094 -0.838
-8.361 0.997 6.495
Se Ca Ho
2 2 2
direct
0.779 0.559 0.844
0.221 0.441 0.156
0.945 0.890 0.169
0.055 0.110 0.831
0.807 0.614 0.402
0.193 0.386 0.598
```

energy relative to the elements, uncorrected: -937 meV per atom
calculated volume: 30.33 Å³ per atom
space group: No. 12
VASP energy: -4.292 eV/atom

Number 1: theoretical density 5.0 g/cm³, magnetic moment 0.00 Bohr magnetons per cell, N(E_F) 5.4 states/eV/f.u.. Number 2: theoretical density 5.5 g/cm³, magnetic moment 0.00 Bohr magnetons per cell, N(E_F) 6.8 states/eV/f.u.. Number 3: theoretical density 5.6 g/cm³, magnetic moment 0.00 Bohr magnetons per cell, N(E_F) 4.1 states/eV/f.u.. Number 4: theoretical density 4.5 g/cm³, magnetic moment 0.00 Bohr magnetons per cell, N(E_F) 7.2 states/eV/f.u.. Number 5: theoretical density 6.1 g/cm³, magnetic moment 0.00 Bohr magnetons per cell, N(E_F) 1.6 states/eV/f.u.. Number 6: theoretical density 5.8 g/cm³, magnetic moment 0.00 Bohr magnetons per cell, N(E_F) 3.6 states/eV/f.u.. Number 7: theoretical density 4.7 g/cm³, magnetic moment 0.00 Bohr magnetons per cell, N(E_F) 2.9 states/eV/f.u.. Number 8: theoretical density 4.9 g/cm³, magnetic moment 0.00 Bohr magnetons per cell, N(E_F) 2.4 states/eV/f.u.. Number 9: theoretical density 6.9 g/cm³, magnetic moment 0.00 Bohr magnetons per cell, N(E_F) 2.2 states/eV/f.u.. Number 10: theoretical density 7.8 g/cm³, magnetic moment 0.00 Bohr magnetons per cell, N(E_F) 5.1 states/eV/f.u.. Number 11: theoretical density 4.9 g/cm³, magnetic moment 0.00 Bohr magnetons per cell, N(E_F) 4.0 states/eV/f.u.. Number 12: theoretical density 5.2 g/cm³, magnetic moment 1.70 Bohr magnetons per cell, N(E_F) 2.0 states/eV/f.u..